(1)
A geometry-optimized TmScOsPt structure, computed with PBE.

Properties
Its formation energy is -17.8 kcal/mol of atoms. Its space group is F-43m (216). The relative energy among the computed polymorphs comes out at 0.26 eV per formula unit.

Cell: 4.7013 4.7013 4.7013 Å, 60.00 60.00 60.00°
Fractional coordinates of all 4 atoms:
Pt: 0.7500 0.7500 0.7500
Sc: 0.0000 0.0000 0.0000
Tm: 0.5000 0.5000 0.5000
Os: 0.2500 0.2500 0.2500

***

(2)
A geometry-optimized OsPt2Se structure, computed with PBE.

Properties
For the formation energy from raw total energies, the calculation gives 0.422 eV/atom. Its space group is C2/m (12).

Cell: 5.1870 5.1870 4.4339 Å, 86.92 86.92 33.08°
Fractional coordinates of all 4 atoms:
Se: 0.7500 0.7500 0.7500
Pt: 0.9676 0.9676 0.0090
Pt: 0.5324 0.5324 0.4910
Os: 0.2500 0.2500 0.2500

***

(3)
A geometry-optimized OsPt2Se structure, computed with PBE.

Properties
For the formation energy from raw total energies, the calculation gives 0.230 eV/atom. Its space group is Pmmm (47).

Cell: 3.5582 2.7037 7.0237 Å, 89.99 90.00 90.00°
Fractional coordinates of all 4 atoms:
Se: 0.5000 0.2500 0.2500
Pt: 0.0000 0.2501 0.5297
Os: 0.5000 0.7500 0.7500
Pt: 0.0000 0.2499 0.9703

***

(4)
A geometry-optimized OsPt2Se structure, computed with PBE.

Properties
For the formation energy from raw total energies, the calculation gives 0.323 eV/atom. Its space group is P4mm (99).

Cell: 2.8777 2.8777 7.8822 Å, 90.00 90.00 90.00°
Fractional coordinates of all 4 atoms:
Se: 0.0000 0.0000 0.5428
Os: 0.5000 0.5000 0.7413
Pt: 0.5000 0.5000 0.2322
Pt: 0.0000 0.0000 0.9836

***

Number 1: Fermi-level density of states 0.406 states/eV per atom. Number 2: Fermi-level density of states 0.982 states/eV per atom. Number 3: Fermi-level density of states 0.704 states/eV per atom. Number 4: Fermi-level density of states 1.089 states/eV per atom.